Entry 1:
NaHfIN2 | PBE-GGA | optimized geometry

Summary:
Energy relative to the elements, uncorrected   -158 meV/atom
Total magnetic moment   0.28 μB per cell
Distance to the lowest polymorph of the same formula   0.0 meV per atom
Raw total energy   -30.26 eV per cell
Crystal system   tetragonal

a b c (Å): 4.1954 4.1954 6.1243
angles (deg): 90.00 90.00 90.00
Positions (direct):
1 Na 0.0000 0.0000 0.0000
2 Hf 0.5000 0.5000 0.5000
3 I 0.5000 0.5000 0.0000
4 N 0.0000 0.5000 0.5000
5 N 0.5000 0.0000 0.5000

=====

Entry 2:
SrLa4Ir2 | PBE-GGA | optimized geometry

Summary:
Total magnetic moment   0.00 μB per cell
Raw total energy   -72.20 eV per cell
Crystal system   tetragonal

a b c (Å): 5.9614 5.9614 14.0718
angles (deg): 90.00 90.00 90.00
Positions (direct):
1 Sr 0.0000 0.0000 0.0000
2 Sr 0.5000 0.5000 0.5000
3 La 0.0000 0.0000 0.2335
4 La 0.0000 0.0000 0.7665
5 La 0.0000 0.5000 0.0000
6 La 0.0000 0.5000 0.5000
7 La 0.5000 0.0000 0.0000
8 La 0.5000 0.0000 0.5000
9 La 0.5000 0.5000 0.2665
10 La 0.5000 0.5000 0.7335
11 Ir 0.0000 0.0000 0.4072
12 Ir 0.0000 0.0000 0.5928
13 Ir 0.5000 0.5000 0.0928
14 Ir 0.5000 0.5000 0.9072

=====

Entry 3:
K2RbSe | PBE-GGA | optimized geometry

Summary:
Energy relative to the elements, uncorrected   -668 meV/atom
Total magnetic moment   0.00 μB per cell
Raw total energy   -37.28 eV per cell
Crystal system   tetragonal

a b c (Å): 11.7714 11.7714 6.8210
angles (deg): 90.00 90.00 90.00
Positions (direct):
1 K 0.0880 0.2500 0.1250
2 K 0.2500 0.5880 0.3750
3 K 0.2500 0.9120 0.8750
4 K 0.4120 0.2500 0.6250
5 K 0.5880 0.7500 0.6250
6 K 0.7500 0.0880 0.8750
7 K 0.7500 0.4120 0.3750
8 K 0.9120 0.7500 0.1250
9 Rb 0.0000 0.0000 0.5000
10 Rb 0.0000 0.5000 0.7500
11 Rb 0.5000 0.0000 0.2500
12 Rb 0.5000 0.5000 0.0000
13 Se 0.0000 0.0000 0.0000
14 Se 0.0000 0.5000 0.2500
15 Se 0.5000 0.0000 0.7500
16 Se 0.5000 0.5000 0.5000

=====

Entry 4:
Re3RuSe | PBE-GGA | optimized geometry

Summary:
Energy relative to the elements, uncorrected   1932 meV/atom
Total magnetic moment   2.01 μB per cell
Distance to the lowest polymorph of the same formula   0.0 meV per atom
Raw total energy   -40.45 eV per cell
Crystal system   cubic

a b c (Å): 4.4847 4.4847 4.4847
angles (deg): 90.00 90.00 90.00
Positions (direct):
1 Re 0.0000 0.0000 0.5000
2 Re 0.0000 0.5000 0.0000
3 Re 0.5000 0.0000 0.0000
4 Ru 0.5000 0.5000 0.5000
5 Se 0.0000 0.0000 0.0000

=====

Entry 5:
Hg5Te3 | PBE-GGA | optimized geometry

Summary:
Energy relative to the elements, uncorrected   5 meV/atom
Total magnetic moment   0.00 μB per cell
Distance to the lowest polymorph of the same formula   0.0 meV per atom
Raw total energy   -21.79 eV per cell
Crystal system   hexagonal

a b c (Å): 9.6593 9.6593 6.6273
angles (deg): 90.00 90.00 120.00
Positions (direct):
1 Hg 0.0000 0.2219 0.2500
2 Hg 0.0000 0.7781 0.7500
3 Hg 0.2219 0.0000 0.2500
4 Hg 0.2219 0.2219 0.7500
5 Hg 0.3333 0.6667 0.0000
6 Hg 0.3333 0.6667 0.5000
7 Hg 0.6667 0.3333 0.0000
8 Hg 0.6667 0.3333 0.5000
9 Hg 0.7781 0.0000 0.7500
10 Hg 0.7781 0.7781 0.2500
11 Te 0.0000 0.3240 0.7500
12 Te 0.0000 0.6760 0.2500
13 Te 0.3240 0.0000 0.7500
14 Te 0.3240 0.3240 0.2500
15 Te 0.6760 0.0000 0.2500
16 Te 0.6760 0.6760 0.7500

=====

Entry 6:
MgAlMo2 | PBE-GGA | optimized geometry

Summary:
Total magnetic moment   0.00 μB per cell
Distance to the lowest polymorph of the same formula   91.8 meV per atom
Raw total energy   -26.60 eV per cell
Crystal system   monoclinic

a b c (Å): 2.7248 4.4379 5.4654
angles (deg): 90.00 103.06 90.00
Positions (direct):
1 Mg 0.0000 0.0000 0.0000
2 Al 0.0000 0.0000 0.5000
3 Mo 0.4901 0.5000 0.7441
4 Mo 0.5099 0.5000 0.2559

=====

Entry 7:
Tb3AgC | PBE-GGA | optimized geometry

Summary:
Total magnetic moment   0.00 μB per cell
Distance to the lowest polymorph of the same formula   76.7 meV per atom
Raw total energy   -26.86 eV per cell
Crystal system   cubic

a b c (Å): 4.9219 4.9219 4.9219
angles (deg): 90.00 90.00 90.00
Positions (direct):
1 Tb 0.0000 0.0000 0.5000
2 Tb 0.0000 0.5000 0.0000
3 Tb 0.5000 0.0000 0.0000
4 Ag 0.5000 0.5000 0.5000
5 C 0.0000 0.0000 0.0000